Y3SiO: relaxed, GGA-PBE.

a b c (Å): 4.674 4.674 4.674
angles (deg): 90.00 90.00 90.00
Element x y z (fractional)
Y1 0.000 0.500 0.000
O1 0.000 0.000 0.000
Y2 0.000 0.000 0.500
Y3 0.500 0.000 0.000
Si1 0.500 0.500 0.500

Properties
- ΔE_f (raw) (eV per formula unit) = -6.7
- space-group type = Pm-3m, No. 221
- relative energy among the computed polymorphs (meV per atom) = 57